(1)
VASP calculation (PBE) on a geometry-optimized AcTlAgO4 structure.

Unit cell a=6.693 b=7.213 c=7.213 alpha=66.01 beta=62.36 gamma=62.36
Fractional positions:
Ac1 0.000 0.000 0.000
Ac2 0.000 0.500 0.500
Tl1 0.500 0.000 0.500
Tl2 0.000 0.000 0.500
Ag1 0.609 0.641 0.141
Ag2 0.391 0.359 0.859
O1 0.752 0.803 0.693
O2 0.248 0.807 0.697
O3 0.752 0.193 0.303
O4 0.248 0.197 0.307
O5 0.228 0.749 0.249
O6 0.773 0.749 0.249
O7 0.227 0.251 0.751
O8 0.772 0.251 0.751

As for the symmetry: No. 74. The calculation puts the formation energy (no corrections) at -8.65 eV/f.u. For the spin magnetization, the calculation gives 2.11 μB/cell.

=====

(2)
VASP calculation (PBE) on a geometry-optimized AcUAg2O8 structure.

Unit cell a=6.310 b=6.310 c=6.310 alpha=110.03 beta=110.03 gamma=108.35
Fractional positions:
Ac1 0.000 0.000 0.000
U1 0.250 0.750 0.500
Ag1 0.750 0.250 0.500
Ag2 0.500 0.500 0.000
O1 0.369 0.031 0.338
O2 0.290 0.509 0.219
O3 0.290 0.071 0.781
O4 0.694 0.031 0.662
O5 0.929 0.710 0.219
O6 0.969 0.306 0.338
O7 0.969 0.631 0.662
O8 0.491 0.710 0.781

As for the symmetry: No. 119. The calculation puts the formation energy (no corrections) at -17.68 eV/f.u. For the spin magnetization, the calculation gives 0.00 μB/cell.